Entry 1:
NaPRuO4: optimized geometry, PBE.

a b c (Å): 5.083 5.083 6.795
angles (deg): 90.00 90.00 117.74
Atoms (fractional coordinates):
Na  0.182  0.818  0.750
Na  0.818  0.182  0.250
P  0.161  0.839  0.250
P  0.839  0.161  0.750
Ru  0.500  0.500  0.000
Ru  0.500  0.500  0.500
O  0.192  0.295  0.750
O  0.259  0.741  0.064
O  0.259  0.741  0.436
O  0.295  0.192  0.250
O  0.705  0.808  0.750
O  0.741  0.259  0.564
O  0.741  0.259  0.936
O  0.808  0.705  0.250

Calculated values
Magnetization   0.00 μB/atom
Raw total energy   -6.6314 eV/atom
Crystal system   orthorhombic
Symmetry   No. 63
Formation energy (no corrections)   -1512 meV per atom


Entry 2:
TcH3Au: optimized geometry, PBE.

a b c (Å): 3.588 3.588 3.588
angles (deg): 90.00 90.00 90.00
Atoms (fractional coordinates):
Tc  0.000  0.000  0.000
H  0.000  0.500  0.500
H  0.500  0.000  0.500
H  0.500  0.500  0.000
Au  0.500  0.500  0.500

Calculated values
Magnetization   0.41 μB/atom
Raw total energy   -3.8956 eV/atom
Crystal system   cubic
Symmetry   No. 221


Entry 3:
TaAl4Hg: optimized geometry, PBE.

a b c (Å): 5.269 5.269 5.269
angles (deg): 60.00 60.00 60.00
Atoms (fractional coordinates):
Ta  0.000  0.000  0.000
Al  0.125  0.625  0.625
Al  0.625  0.125  0.625
Al  0.625  0.625  0.125
Al  0.625  0.625  0.625
Hg  0.250  0.250  0.250

Calculated values
E_form   0.93 eV per formula unit
Magnetization   0.00 μB/atom
Raw total energy   -4.3657 eV/atom
Crystal system   cubic
Symmetry   No. 216


Entry 4:
NiPb2Au: optimized geometry, PBE.

a b c (Å): 5.012 5.012 5.012
angles (deg): 60.00 60.00 60.00
Atoms (fractional coordinates):
Ni  0.000  0.000  0.000
Pb  0.250  0.250  0.250
Pb  0.500  0.500  0.500
Au  0.750  0.750  0.750

Calculated values
E_form   1.59 eV per formula unit
Magnetization   0.00 μB/atom
Raw total energy   -3.7221 eV/atom
Crystal system   cubic
Symmetry   No. 216


Entry 5:
Ac8Co3AgI4: optimized geometry, PBE.

a b c (Å): 9.988 9.988 9.988
angles (deg): 51.97 51.97 51.97
Atoms (fractional coordinates):
Ac  0.206  0.739  0.739
Ac  0.228  0.228  0.228
Ac  0.261  0.261  0.794
Ac  0.261  0.794  0.261
Ac  0.739  0.206  0.739
Ac  0.739  0.739  0.206
Ac  0.772  0.772  0.772
Ac  0.794  0.261  0.261
Co  0.000  0.000  0.500
Co  0.000  0.500  0.000
Co  0.500  0.000  0.000
Ag  0.500  0.500  0.500
I  0.000  0.000  0.000
I  0.000  0.500  0.500
I  0.500  0.000  0.500
I  0.500  0.500  0.000

Calculated values
Magnetization   0.00 μB/atom
Raw total energy   -4.5671 eV/atom
Crystal system   trigonal
Symmetry   No. 166
Formation energy (no corrections)   -615 meV per atom


Entry 6:
Nd2HoThSb4: optimized geometry, PBE.

a b c (Å): 7.747 4.490 7.776
angles (deg): 90.00 109.47 90.00
Atoms (fractional coordinates):
Nd  0.000  0.000  0.000
Nd  0.500  0.500  0.000
Ho  0.000  0.500  0.500
Th  0.500  0.000  0.500
Sb  0.244  0.000  0.742
Sb  0.247  0.500  0.254
Sb  0.753  0.500  0.746
Sb  0.756  0.000  0.258

Calculated values
Magnetization   0.00 μB/atom
Raw total energy   -5.8677 eV/atom
Crystal system   monoclinic
Symmetry   No. 10
Formation energy (no corrections)   -1115 meV per atom


Entry 7:
La8Sm2Dy3: optimized geometry, PBE.

a b c (Å): 5.816 7.766 10.772
angles (deg): 73.76 89.93 89.90
Atoms (fractional coordinates):
La  0.000  0.081  0.228
La  0.000  0.399  0.846
La  0.000  0.601  0.154
La  0.000  0.919  0.772
La  0.499  0.225  0.702
La  0.500  0.375  0.287
La  0.500  0.625  0.713
La  0.501  0.775  0.298
Sm  0.500  0.229  0.018
Sm  0.500  0.771  0.982
Dy  0.001  0.719  0.505
Dy  0.500  0.000  0.500
Dy  0.999  0.281  0.495

Calculated values
E_form   2.24 eV per formula unit
Magnetization   0.00 μB/atom
Raw total energy   -4.6480 eV/atom
Crystal system   triclinic
Symmetry   No. 2


Entry 8:
LiCe3Tm2S6: optimized geometry, PBE.

a b c (Å): 6.769 6.769 6.882
angles (deg): 99.43 99.43 120.05
Atoms (fractional coordinates):
Li  0.000  0.000  0.000
Ce  0.166  0.834  0.500
Ce  0.500  0.500  0.500
Ce  0.834  0.166  0.500
Tm  0.333  0.667  0.000
Tm  0.667  0.333  0.000
S  0.077  0.407  0.230
S  0.253  0.253  0.770
S  0.407  0.077  0.230
S  0.593  0.923  0.770
S  0.747  0.747  0.230
S  0.923  0.593  0.770

Calculated values
Magnetization   0.26 μB/atom
Raw total energy   -6.3806 eV/atom
Crystal system   monoclinic
Symmetry   No. 12
Formation energy (no corrections)   -1929 meV per atom


Entry 9:
CaNbAlIr2: optimized geometry, PBE.

a b c (Å): 6.337 6.337 6.337
angles (deg): 141.43 141.43 55.69
Atoms (fractional coordinates):
Ca  0.000  0.000  0.000
Nb  0.250  0.750  0.500
Al  0.750  0.250  0.500
Ir  0.385  0.385  0.000
Ir  0.615  0.615  0.000

Calculated values
E_form   -3.15 eV per formula unit
Magnetization   0.00 μB/atom
Raw total energy   -7.3368 eV/atom
Crystal system   tetragonal
Symmetry   No. 119


Entry 10:
SrTlI2Br: optimized geometry, PBE.

a b c (Å): 6.446 6.446 5.884
angles (deg): 90.00 90.00 90.00
Atoms (fractional coordinates):
Sr  0.000  0.000  0.000
Tl  0.500  0.500  0.500
I  0.000  0.500  0.000
I  0.500  0.000  0.000
Br  0.000  0.000  0.500

Calculated values
Magnetization   0.00 μB/atom
Raw total energy   -3.0385 eV/atom
Crystal system   tetragonal
Symmetry   No. 123
Formation energy (no corrections)   -1274 meV per atom


Entry 11:
SmCo3Si3: optimized geometry, PBE.

a b c (Å): 7.699 7.699 7.699
angles (deg): 47.33 47.33 47.33
Atoms (fractional coordinates):
Sm  0.169  0.169  0.169
Sm  0.831  0.831  0.831
Co  0.038  0.259  0.581
Co  0.259  0.581  0.038
Co  0.419  0.962  0.741
Co  0.581  0.038  0.259
Co  0.741  0.419  0.962
Co  0.962  0.741  0.419
Si  0.160  0.373  0.680
Si  0.320  0.840  0.627
Si  0.373  0.680  0.160
Si  0.627  0.320  0.840
Si  0.680  0.160  0.373
Si  0.840  0.627  0.320

Calculated values
Magnetization   0.00 μB/atom
Raw total energy   -6.3567 eV/atom
Crystal system   trigonal
Symmetry   No. 148
Formation energy (no corrections)   -313 meV per atom


Entry 12:
AlTlCu2: optimized geometry, PBE.

a b c (Å): 3.377 4.220 4.744
angles (deg): 90.00 90.00 90.00
Atoms (fractional coordinates):
Al  0.000  0.000  0.000
Tl  0.500  0.000  0.500
Cu  0.000  0.500  0.500
Cu  0.500  0.500  0.000

Calculated values
E_form   1.25 eV per formula unit
Magnetization   0.00 μB/atom
Raw total energy   -3.2618 eV/atom
Crystal system   orthorhombic
Symmetry   No. 47